#i
The following is a PBE calculation of crystalline SrSc2Ge2 at its relaxed geometry, from Alexandria.

a b c (Å): 4.570 4.570 6.844
angles (deg): 70.50 70.50 90.00
Positions (direct):
1 Sc 0.250 0.750 0.500
2 Sc 0.750 0.250 0.500
3 Sr 0.000 0.000 0.000
4 Ge 0.382 0.382 0.236
5 Ge 0.618 0.618 0.764

* magnetization: 0.0 μB per formula unit
* symmetry: I4/mmm, No. 139
* volume: 25.2 Å³/atom
* crystal system: tetragonal

=====

#ii
The following is a PBE calculation of crystalline SrSc2Ge2 at its relaxed geometry, from Alexandria.

a b c (Å): 8.358 8.358 3.300
angles (deg): 90.00 90.00 90.00
Positions (direct):
1 Sc 0.864 0.364 0.500
2 Ge 0.841 0.659 0.000
3 Sc 0.136 0.636 0.500
4 Sr 0.500 0.500 0.000
5 Sc 0.636 0.864 0.500
6 Ge 0.159 0.341 0.000
7 Sr 0.000 0.000 0.000
8 Ge 0.659 0.159 0.000
9 Sc 0.364 0.136 0.500
10 Ge 0.341 0.841 0.000

* magnetization: 0.0 μB per formula unit
* symmetry: P4/mbm, No. 127
* volume: 23.1 Å³/atom
* crystal system: tetragonal

=====

#iii
The following is a PBE calculation of crystalline SrSc2Ge2 at its relaxed geometry, from Alexandria.

a b c (Å): 5.115 5.115 6.364
angles (deg): 66.30 66.30 90.00
Each line ends with the local moment (μB).
Positions (direct):
1 Sr 0.000 0.000 0.000  0.02
2 Sc 0.672 0.672 0.655  0.17
3 Ge 0.250 0.750 0.500  -0.01
4 Sc 0.328 0.328 0.345  0.17
5 Ge 0.750 0.250 0.500  -0.01

* magnetization: 0.8 μB per formula unit
* symmetry: I4/mmm, No. 139
* volume: 27.4 Å³/atom
* crystal system: tetragonal

=====

Q: Which of them is the least stable? A: #iii.

=====

#i
The following is a PBE calculation of crystalline SrSc3Ge at its relaxed geometry, from Alexandria.

a b c (Å): 5.153 5.153 5.153
angles (deg): 90.00 90.00 90.00
Positions (direct):
1 Sr 0.000 0.000 0.000
2 Sc 0.000 0.000 0.500
3 Sc 0.500 0.000 0.000
4 Sc 0.000 0.500 0.000
5 Ge 0.500 0.500 0.500

* magnetization: 0.0 μB per formula unit
* symmetry: Pm-3m, No. 221
* volume: 27.4 Å³/atom
* crystal system: cubic

=====

#ii
The following is a PBE calculation of crystalline SrSc3Ge at its relaxed geometry, from Alexandria.

a b c (Å): 5.303 5.303 5.303
angles (deg): 90.00 90.00 90.00
Positions (direct):
1 Sr 0.500 0.500 0.500
2 Sc 0.500 0.000 0.000
3 Ge 0.000 0.000 0.000
4 Sc 0.000 0.000 0.500
5 Sc 0.000 0.500 0.000

* magnetization: 0.0 μB per formula unit
* symmetry: Pm-3m, No. 221
* volume: 29.8 Å³/atom
* crystal system: cubic

=====

Q: Which of them is the least stable? A: #i.

=====

#i
The following is a PBE calculation of crystalline ScTa3Ge at its relaxed geometry, from Alexandria.

a b c (Å): 4.791 4.791 4.791
angles (deg): 90.00 90.00 90.00
Positions (direct):
1 Sc 0.500 0.500 0.500
2 Ge 0.000 0.000 0.000
3 Ta 0.000 0.000 0.500
4 Ta 0.000 0.500 0.000
5 Ta 0.500 0.000 0.000

* magnetization: 0.0 μB per formula unit
* symmetry: Pm-3m, No. 221
* volume: 22.0 Å³/atom
* crystal system: cubic

=====

#ii
The following is a PBE calculation of crystalline ScTa3Ge at its relaxed geometry, from Alexandria.

a b c (Å): 4.741 4.741 4.741
angles (deg): 90.00 90.00 90.00
Positions (direct):
1 Ta 0.000 0.500 0.000
2 Ge 0.500 0.500 0.500
3 Ta 0.500 0.000 0.000
4 Sc 0.000 0.000 0.000
5 Ta 0.000 0.000 0.500

* magnetization: 0.0 μB per formula unit
* symmetry: Pm-3m, No. 221
* volume: 21.3 Å³/atom
* crystal system: cubic

=====

Q: Which of them is the least stable? A: #ii.